[1]
A plane-wave DFT calculation with PBE was carried out for a relaxed HgAs2IrOs crystal.

Total magnetic moment in μB/f.u.: 2.80
Volume in Å³/atom: 24.38
Energy of formation in eV/atom: 2.447

a = 4.9136 Å, b = 5.0480 Å, c = 4.9136 Å
α = 90.00°, β = 90.00°, γ = 90.00°
Last column: nearest neighbours and their distance in Å.
Fractional coordinates of all 5 atoms:
As: 0.0000 0.0000 0.5000  2 Hg 2.46
As: 0.5000 0.0000 0.0000  2 Hg 2.46
Hg: 0.0000 0.0000 0.0000  4 As 2.46, 2 Os 2.52
Ir: 0.5000 0.5000 0.5000  4 Os 3.47, 8 As 3.52
Os: 0.0000 0.5000 0.0000  2 Hg 2.52

=====

[2]
A plane-wave DFT calculation with PBE was carried out for a relaxed Hg3Sb5O12 crystal.

Total magnetic moment in μB/f.u.: 0.00
Volume in Å³/atom: 16.92
Raw formation energy in eV per atom: -0.871

a = 12.0702 Å, b = 12.0702 Å, c = 12.0702 Å
α = 109.47°, β = 109.47°, γ = 109.47°
Last column: nearest neighbours and their distance in Å.
Fractional coordinates of all 80 atoms:
Sb: 0.7500 0.6250 0.3750  4 O 2.15
Sb: 0.1250 0.7500 0.3750  4 O 2.15
Sb: 0.5000 0.0000 0.0000  6 O 2.07
Sb: 0.3750 0.1250 0.7500  4 O 2.15
Sb: 0.1250 0.3750 0.2500  4 O 2.15
Sb: 0.8750 0.2500 0.6250  4 O 2.15
Sb: 0.0000 0.0000 0.0000  6 O 2.07
Sb: 0.5000 0.5000 0.0000  6 O 2.07
Sb: 0.2500 0.8750 0.1250  4 O 2.15
Sb: 0.5000 0.5000 0.5000  6 O 2.07
Sb: 0.3750 0.2500 0.1250  4 O 2.15
Sb: 0.2500 0.3750 0.6250  4 O 2.15
Sb: 0.0000 0.5000 0.5000  6 O 2.07
Sb: 0.0000 0.0000 0.5000  6 O 2.07
Sb: 0.6250 0.8750 0.2500  4 O 2.15
Sb: 0.0000 0.5000 0.0000  6 O 2.07
Sb: 0.6250 0.7500 0.8750  4 O 2.15
Sb: 0.5000 0.0000 0.5000  6 O 2.07
Sb: 0.8750 0.6250 0.7500  4 O 2.15
Sb: 0.7500 0.1250 0.8750  4 O 2.15
O: 0.0157 0.1571 0.1544  2 Sb 2.07-2.15
O: 0.4972 0.1544 0.1387  2 Sb 2.07-2.15
O: 0.5157 0.6544 0.6571  2 Sb 2.07-2.15
O: 0.1414 0.9843 0.1387  2 Sb 2.07-2.15
O: 0.6414 0.0028 0.6571  2 Sb 2.07-2.15
O: 0.1544 0.4972 0.6387  2 Sb 2.07-2.15
O: 0.8456 0.3429 0.9843  2 Sb 2.07-2.15
O: 0.8613 0.5157 0.8586  2 Sb 2.07-2.15
O: 0.8613 0.3456 0.5028  2 Sb 2.07-2.15
O: 0.8586 0.8429 0.4972  2 Sb 2.07-2.15
O: 0.4843 0.3456 0.3429  2 Sb 2.07-2.15
O: 0.6571 0.1544 0.5157  2 Sb 2.07-2.15
O: 0.0157 0.8586 0.3613  2 Sb 2.07-2.15
O: 0.6387 0.6414 0.9843  2 Sb 2.07-2.15
O: 0.8429 0.9843 0.3456  2 Sb 2.07-2.15
O: 0.8586 0.0157 0.8613  2 Sb 2.07-2.15
O: 0.3456 0.4843 0.8429  2 Sb 2.07-2.15
O: 0.9843 0.1414 0.6387  2 Sb 2.07-2.15
O: 0.4843 0.1387 0.6414  2 Sb 2.07-2.15
O: 0.6544 0.5157 0.1571  2 Sb 2.07-2.15
O: 0.1544 0.6571 0.0157  2 Sb 2.07-2.15
O: 0.6387 0.9972 0.1544  2 Sb 2.07-2.15
O: 0.9843 0.8429 0.8456  2 Sb 2.07-2.15
O: 0.6571 0.5028 0.6414  2 Sb 2.07-2.15
O: 0.8456 0.5028 0.3613  2 Sb 2.07-2.15
O: 0.0028 0.6414 0.1571  2 Sb 2.07-2.15
O: 0.1414 0.1571 0.5028  2 Sb 2.07-2.15
O: 0.6414 0.6387 0.4843  2 Sb 2.07-2.15
O: 0.9972 0.6387 0.6544  2 Sb 2.07-2.15
O: 0.8429 0.8586 0.9972  2 Sb 2.07-2.15
O: 0.3429 0.8456 0.4843  2 Sb 2.07-2.15
O: 0.3586 0.3613 0.5157  2 Sb 2.07-2.15
O: 0.0028 0.3613 0.3456  2 Sb 2.07-2.15
O: 0.1571 0.1414 0.0028  2 Sb 2.07-2.15
O: 0.5028 0.8456 0.8613  2 Sb 2.07-2.15
O: 0.3456 0.8613 0.0028  2 Sb 2.07-2.15
O: 0.1571 0.0157 0.6544  2 Sb 2.07-2.15
O: 0.5157 0.8613 0.3586  2 Sb 2.07-2.15
O: 0.1387 0.6544 0.4972  2 Sb 2.07-2.15
O: 0.5028 0.6571 0.1414  2 Sb 2.07-2.15
O: 0.6544 0.1387 0.9972  2 Sb 2.07-2.15
O: 0.3613 0.3586 0.0157  2 Sb 2.07-2.15
O: 0.3429 0.4972 0.3586  2 Sb 2.07-2.15
O: 0.3613 0.0028 0.8456  2 Sb 2.07-2.15
O: 0.3586 0.9972 0.3429  2 Sb 2.07-2.15
O: 0.1387 0.4843 0.1414  2 Sb 2.07-2.15
O: 0.4972 0.3429 0.8586  2 Sb 2.07-2.15
O: 0.9972 0.3586 0.8429  2 Sb 2.07-2.15
Hg: 0.7500 0.3750 0.1250  4 O 2.35
Hg: 0.8750 0.1250 0.2500  4 O 2.35
Hg: 0.6250 0.3750 0.7500  4 O 2.35
Hg: 0.2500 0.1250 0.3750  4 O 2.35
Hg: 0.3750 0.6250 0.2500  4 O 2.35
Hg: 0.8750 0.7500 0.1250  4 O 2.35
Hg: 0.3750 0.7500 0.6250  4 O 2.35
Hg: 0.2500 0.6250 0.8750  4 O 2.35
Hg: 0.6250 0.2500 0.3750  4 O 2.35
Hg: 0.1250 0.2500 0.8750  4 O 2.35
Hg: 0.1250 0.8750 0.7500  4 O 2.35
Hg: 0.7500 0.8750 0.6250  4 O 2.35

=====

[3]
A plane-wave DFT calculation with PBE was carried out for a relaxed AlIn crystal.

Total magnetic moment in μB/f.u.: 0.00
Volume in Å³/atom: 23.14
Energy of formation in eV/atom: 0.151

a = 5.6250 Å, b = 5.6250 Å, c = 4.2252 Å
α = 90.00°, β = 90.00°, γ = 136.18°
Last column: nearest neighbours and their distance in Å.
Fractional coordinates of all 4 atoms:
Al: 0.5815 0.4185 0.7500  2 Al 2.71, 1 In 2.90
Al: 0.4185 0.5815 0.2500  2 Al 2.71, 1 In 2.90
In: 0.1406 0.8594 0.2500  7 Al 2.90-3.13
In: 0.8594 0.1406 0.7500  7 Al 2.90-3.13